# Gd2ErGa3NiGe2 | OQMD | PBE | optimized geometry
# ρ, Mg/m³: 8.413
# VASP energy, eV/atom: -4.92
# V, Å³/cell: 176.6
data_Gd2ErGa3NiGe2
_chemical_formula_sum 'Gd2 Er1 Ga3 Ni1 Ge2'
_cell_length_a 4.1652
_cell_length_b 6.9905
_cell_length_c 6.9905
_cell_angle_alpha 119.79
_cell_angle_beta 90.00
_cell_angle_gamma 90.00
_symmetry_space_group_name_H-M 'P 1'
_symmetry_Int_Tables_number 1
loop_
_symmetry_equiv_pos_as_xyz
'x,y,z'
loop_
_atom_site_label
_atom_site_fract_x
_atom_site_fract_y
_atom_site_fract_z
_atom_site_occupancy
Gd1 0.0000 0.1999 0.8001 1
Gd2 0.0000 0.8001 0.1999 1
Er1 0.0000 0.5987 0.5987 1
Ga1 0.5000 0.2023 0.4301 1
Ga2 0.5000 0.4301 0.2023 1
Ga3 0.5000 0.9707 0.9707 1
Ni1 0.0000 0.2039 0.2039 1
Ge1 0.5000 0.5351 0.8638 1
Ge2 0.5000 0.8638 0.5351 1

=====

# SrGdAgSeS2 | OQMD | PBE | optimized geometry
# ρ, Mg/m³: 5.500
# VASP energy, eV/atom: -5.04
# V, Å³/cell: 299.4
data_SrGdAgSeS2
_chemical_formula_sum 'Sr2 Gd2 Ag2 Se2 S4'
_cell_length_a 7.1463
_cell_length_b 7.1463
_cell_length_c 10.7105
_cell_angle_alpha 90.00
_cell_angle_beta 90.00
_cell_angle_gamma 146.81
_symmetry_space_group_name_H-M 'P 1'
_symmetry_Int_Tables_number 1
loop_
_symmetry_equiv_pos_as_xyz
'x,y,z'
loop_
_atom_site_label
_atom_site_fract_x
_atom_site_fract_y
_atom_site_fract_z
_atom_site_occupancy
Sr1 0.2329 0.7671 0.7500 1
Sr2 0.7671 0.2329 0.2500 1
Gd1 0.0000 0.0000 0.0000 1
Gd2 0.0000 0.0000 0.5000 1
Ag1 0.4769 0.5231 0.2500 1
Ag2 0.5231 0.4769 0.7500 1
Se1 0.0987 0.9013 0.2500 1
Se2 0.9013 0.0987 0.7500 1
S1 0.3668 0.6332 0.0627 1
S2 0.3668 0.6332 0.4373 1
S3 0.6332 0.3668 0.5627 1
S4 0.6332 0.3668 0.9373 1

=====

# ZrTlAgTeSeS | OQMD | PBE | optimized geometry
# ρ, Mg/m³: 6.684
# VASP energy, eV/atom: -4.89
# V, Å³/cell: 319.0
data_ZrTlAgTeSeS
_chemical_formula_sum 'Zr2 Tl2 Ag2 Te2 Se2 S2'
_cell_length_a 8.4407
_cell_length_b 3.9562
_cell_length_c 10.1774
_cell_angle_alpha 90.00
_cell_angle_beta 110.16
_cell_angle_gamma 90.00
_symmetry_space_group_name_H-M 'P 1'
_symmetry_Int_Tables_number 1
loop_
_symmetry_equiv_pos_as_xyz
'x,y,z'
loop_
_atom_site_label
_atom_site_fract_x
_atom_site_fract_y
_atom_site_fract_z
_atom_site_occupancy
Zr1 0.1755 0.2500 0.1463 1
Zr2 0.8245 0.7500 0.8537 1
Tl1 0.2600 0.7500 0.7400 1
Tl2 0.7400 0.2500 0.2600 1
Ag1 0.4278 0.7500 0.3911 1
Ag2 0.5722 0.2500 0.6089 1
Te1 0.2114 0.2500 0.4428 1
Te2 0.7886 0.7500 0.5572 1
Se1 0.3924 0.7500 0.1241 1
Se2 0.6076 0.2500 0.8759 1
S1 0.0390 0.2500 0.8749 1
S2 0.9610 0.7500 0.1251 1

=====

Q: The highest V belongs to which entry?
A: ZrTlAgTeSeS